Compound: PrEuTh2
Source: Alexandria via LeMat-Bulk
Functional: PBE
Structure: relaxed

Results
The formation energy comes out at 0.163 eV per atom. Its energy relative to the lowest polymorph listed for this composition is 0 meV/atom. The space-group type is P4/mmm, No. 123.

Cell lengths 5.0718, 5.0718, 5.2929 Å; angles 90.00, 90.00, 90.00 degrees
With the nearest neighbours (Å) after each atom.
Fractional coordinates of all 4 atoms:
Pr (0.0000, 0.0000, 0.0000)  4 Eu 3.59, 8 Th 3.67
Eu (0.5000, 0.5000, 0.0000)  4 Pr 3.59, 8 Th 3.67
Th (0.0000, 0.5000, 0.5000)  4 Th 3.59, 4 Pr 3.67, 4 Eu 3.67
Th (0.5000, 0.0000, 0.5000)  4 Th 3.59, 4 Pr 3.67, 4 Eu 3.67

***

Compound: MgTcC2
Source: Alexandria via LeMat-Bulk
Functional: PBE
Structure: relaxed

Results
The formation energy comes out at 0.585 eV per atom. The space-group type is I-42d, No. 122.

Cell lengths 4.8638, 4.8638, 9.3779 Å; angles 90.00, 90.00, 90.00 degrees
With the nearest neighbours (Å) after each atom.
Fractional coordinates of all 16 atoms:
Mg (0.0000, 0.0000, 0.0000)  4 C 2.25
Mg (0.0000, 0.5000, 0.2500)  4 C 2.25
Mg (0.5000, 0.0000, 0.7500)  4 C 2.25
Mg (0.5000, 0.5000, 0.5000)  4 C 2.25
Tc (0.0000, 0.0000, 0.5000)  4 C 1.93
Tc (0.0000, 0.5000, 0.7500)  4 C 1.93
Tc (0.5000, 0.0000, 0.2500)  4 C 1.93
Tc (0.5000, 0.5000, 0.0000)  4 C 1.93
C (0.1939, 0.2500, 0.6250)  2 Tc 1.93
C (0.2500, 0.6939, 0.8750)  2 Tc 1.93
C (0.2500, 0.8061, 0.3750)  2 Tc 1.93
C (0.3061, 0.2500, 0.1250)  2 Tc 1.93
C (0.6939, 0.7500, 0.1250)  2 Tc 1.93
C (0.7500, 0.1939, 0.3750)  2 Tc 1.93
C (0.7500, 0.3061, 0.8750)  2 Tc 1.93
C (0.8061, 0.7500, 0.6250)  2 Tc 1.93

***

Compound: HfAsN2
Source: Alexandria via LeMat-Bulk
Functional: PBE
Structure: relaxed

Results
The space-group type is I-42d, No. 122. The value obtained for the electronic total energy is -8.0078 eV per atom.

Cell lengths 5.0152, 5.0152, 9.9593 Å; angles 90.00, 90.00, 90.00 degrees
With the nearest neighbours (Å) after each atom.
Fractional coordinates of all 16 atoms:
Hf (0.0000, 0.0000, 0.0000)  4 N 2.08
Hf (0.0000, 0.5000, 0.2500)  4 N 2.08
Hf (0.5000, 0.0000, 0.7500)  4 N 2.08
Hf (0.5000, 0.5000, 0.5000)  4 N 2.08
As (0.0000, 0.0000, 0.5000)  4 N 2.26
As (0.0000, 0.5000, 0.7500)  4 N 2.26
As (0.5000, 0.0000, 0.2500)  4 N 2.26
As (0.5000, 0.5000, 0.0000)  4 N 2.26
N (0.2188, 0.2500, 0.1250)  2 Hf 2.08, 2 As 2.26
N (0.2500, 0.7188, 0.3750)  2 Hf 2.08, 2 As 2.26
N (0.2500, 0.7812, 0.8750)  2 Hf 2.08, 2 As 2.26
N (0.2812, 0.2500, 0.6250)  2 Hf 2.08, 2 As 2.26
N (0.7188, 0.7500, 0.6250)  2 Hf 2.08, 2 As 2.26
N (0.7500, 0.2188, 0.8750)  2 Hf 2.08, 2 As 2.26
N (0.7500, 0.2812, 0.3750)  2 Hf 2.08, 2 As 2.26
N (0.7812, 0.7500, 0.1250)  2 Hf 2.08, 2 As 2.26

***

Compound: Pr2Sm6HoEr3
Source: Alexandria via LeMat-Bulk
Functional: PBE
Structure: relaxed

Results
The formation energy comes out at 0.018 eV per atom. The space-group type is C2/m, No. 12.

Cell lengths 6.2449, 6.2449, 11.9264 Å; angles 95.00, 95.00, 120.00 degrees
With the nearest neighbours (Å) after each atom.
Fractional coordinates of all 12 atoms:
Pr (0.1666, 0.8334, 0.0000)  3 Pr 3.60-3.61, 3 Ho 3.61, 6 Sm 3.64
Pr (0.8334, 0.1666, 0.0000)  3 Pr 3.60-3.61, 3 Ho 3.61, 6 Sm 3.64
Sm (0.0832, 0.4153, 0.7458)  3 Er 3.56-3.57, 6 Sm 3.59-3.61, 1 Ho 3.63, 2 Pr 3.64
Sm (0.2526, 0.2526, 0.2545)  3 Er 3.55-3.56, 6 Sm 3.59-3.61, 1 Ho 3.64, 2 Pr 3.64
Sm (0.4153, 0.0832, 0.7458)  3 Er 3.56-3.57, 6 Sm 3.59-3.61, 1 Ho 3.63, 2 Pr 3.64
Sm (0.5847, 0.9168, 0.2542)  3 Er 3.56-3.57, 6 Sm 3.59-3.61, 1 Ho 3.63, 2 Pr 3.64
Sm (0.7474, 0.7474, 0.7455)  3 Er 3.55-3.56, 6 Sm 3.59-3.61, 1 Ho 3.64, 2 Pr 3.64
Sm (0.9168, 0.5847, 0.2542)  3 Er 3.56-3.57, 6 Sm 3.59-3.61, 1 Ho 3.63, 2 Pr 3.64
Ho (0.5000, 0.5000, 0.0000)  6 Pr 3.61, 6 Sm 3.63-3.64
Er (0.0000, 0.0000, 0.5000)  6 Sm 3.56, 6 Er 3.60-3.61
Er (0.3336, 0.6664, 0.5000)  6 Sm 3.55-3.57, 6 Er 3.60-3.61
Er (0.6664, 0.3336, 0.5000)  6 Sm 3.55-3.57, 6 Er 3.60-3.61

***

Compound: BeV2Rh
Source: Alexandria via LeMat-Bulk
Functional: PBE
Structure: relaxed

Results
The formation energy comes out at 0.259 eV per atom. The space-group type is I-42d, No. 122.

Cell lengths 6.7166, 6.7166, 4.6387 Å; angles 90.00, 90.00, 90.00 degrees
With the nearest neighbours (Å) after each atom.
Fractional coordinates of all 16 atoms:
Be (0.0000, 0.0000, 0.0000)  2 Rh 2.32, 4 V 2.38
Be (0.0000, 0.5000, 0.2500)  2 Rh 2.32, 4 V 2.38
Be (0.5000, 0.0000, 0.7500)  2 Rh 2.32, 4 V 2.38
Be (0.5000, 0.5000, 0.5000)  2 Rh 2.32, 4 V 2.38
V (0.2369, 0.2500, 0.1250)  2 V 2.33, 2 Be 2.38, 2 Rh 2.51
V (0.2500, 0.7369, 0.3750)  2 V 2.33, 2 Be 2.38, 2 Rh 2.51
V (0.2500, 0.7631, 0.8750)  2 V 2.33, 2 Be 2.38, 2 Rh 2.51
V (0.2631, 0.2500, 0.6250)  2 V 2.33, 2 Be 2.38, 2 Rh 2.51
V (0.7369, 0.7500, 0.6250)  2 V 2.33, 2 Be 2.38, 2 Rh 2.51
V (0.7500, 0.2369, 0.8750)  2 V 2.33, 2 Be 2.38, 2 Rh 2.51
V (0.7500, 0.2631, 0.3750)  2 V 2.33, 2 Be 2.38, 2 Rh 2.51
V (0.7631, 0.7500, 0.1250)  2 V 2.33, 2 Be 2.38, 2 Rh 2.51
Rh (0.0000, 0.0000, 0.5000)  2 Be 2.32, 4 V 2.51
Rh (0.0000, 0.5000, 0.7500)  2 Be 2.32, 4 V 2.51
Rh (0.5000, 0.0000, 0.2500)  2 Be 2.32, 4 V 2.51
Rh (0.5000, 0.5000, 0.0000)  2 Be 2.32, 4 V 2.51

***

Compound: NaY2MgCo
Source: Alexandria via LeMat-Bulk
Functional: PBE
Structure: relaxed

Results
The formation energy comes out at 0.030 eV per atom. The space-group type is P4/mmm, No. 123.

Cell lengths 5.1642, 5.1642, 5.1696 Å; angles 90.00, 90.00, 90.00 degrees
With the nearest neighbours (Å) after each atom.
Fractional coordinates of all 5 atoms:
Na (0.0000, 0.0000, 0.0000)  4 Mg 3.65, 8 Y 3.65
Y (0.0000, 0.5000, 0.5000)  2 Co 2.58
Y (0.5000, 0.0000, 0.5000)  2 Co 2.58
Mg (0.5000, 0.5000, 0.0000)  2 Co 2.58
Co (0.5000, 0.5000, 0.5000)  4 Y 2.58, 2 Mg 2.58

***

Compound: PrSm14In
Source: Alexandria via LeMat-Bulk
Functional: PBE
Structure: relaxed

Results
The formation energy comes out at -0.030 eV per atom. The space-group type is Amm2, No. 38.

Cell lengths 10.1888, 7.1937, 7.1937 Å; angles 90.00, 90.00, 90.00 degrees
With the nearest neighbours (Å) after each atom.
Fractional coordinates of all 16 atoms:
Pr (0.0000, 0.0000, 0.0000)  12 Sm 3.59-3.60
Sm (0.0000, 0.5004, 0.9990)  8 Sm 3.57-3.58, 2 In 3.59-3.60, 2 Pr 3.59-3.60
Sm (0.0000, 0.9990, 0.5004)  8 Sm 3.57-3.58, 2 In 3.59-3.60, 2 Pr 3.59-3.60
Sm (0.2463, 0.2524, 0.2524)  1 In 3.55, 10 Sm 3.56-3.64, 1 Pr 3.59
Sm (0.2467, 0.2524, 0.7474)  1 In 3.56, 10 Sm 3.56-3.64, 1 Pr 3.59
Sm (0.2467, 0.7474, 0.2524)  1 In 3.56, 10 Sm 3.56-3.64, 1 Pr 3.59
Sm (0.2470, 0.7475, 0.7475)  10 Sm 3.56-3.64, 1 In 3.56, 1 Pr 3.60
Sm (0.5000, 0.9999, 0.9999)  12 Sm 3.59-3.64
Sm (0.5000, 0.0003, 0.4996)  12 Sm 3.59-3.62
Sm (0.5000, 0.4996, 0.0003)  12 Sm 3.59-3.62
Sm (0.5000, 0.4999, 0.4999)  12 Sm 3.59-3.61
Sm (0.7533, 0.2524, 0.7474)  1 In 3.56, 10 Sm 3.56-3.64, 1 Pr 3.59
Sm (0.7533, 0.7474, 0.2524)  1 In 3.56, 10 Sm 3.56-3.64, 1 Pr 3.59
Sm (0.7530, 0.7475, 0.7475)  10 Sm 3.56-3.64, 1 In 3.56, 1 Pr 3.60
Sm (0.7537, 0.2524, 0.2524)  1 In 3.55, 10 Sm 3.56-3.64, 1 Pr 3.59
In (0.0000, 0.4998, 0.4998)  12 Sm 3.55-3.60

***

Compound: MgTcIr
Source: Alexandria via LeMat-Bulk
Functional: PBE
Structure: relaxed

Results
The formation energy comes out at -0.094 eV per atom. Its energy relative to the lowest polymorph listed for this composition is 102 meV/atom. The space-group type is P2_1/m, No. 11.

Cell lengths 4.5915, 2.8621, 7.3841 Å; angles 90.00, 107.00, 90.00 degrees
With the nearest neighbours (Å) after each atom.
Fractional coordinates of all 6 atoms:
Mg (0.0093, 0.2500, 0.1819)  5 Ir 2.67-2.86, 3 Tc 2.80-2.92, 2 Mg 2.86
Mg (0.9907, 0.7500, 0.8181)  5 Ir 2.67-2.86, 3 Tc 2.80-2.92, 2 Mg 2.86
Tc (0.2858, 0.7500, 0.5349)  6 Tc 2.60-2.90, 2 Ir 2.62, 1 Mg 2.80
Tc (0.7142, 0.2500, 0.4651)  6 Tc 2.60-2.90, 2 Ir 2.62, 1 Mg 2.80
Ir (0.4878, 0.7500, 0.1592)  2 Tc 2.62, 5 Mg 2.67-2.86, 4 Ir 2.78-2.86
Ir (0.5122, 0.2500, 0.8408)  2 Tc 2.62, 5 Mg 2.67-2.86, 4 Ir 2.78-2.86

***

Compound: TmPb2
Source: Alexandria via LeMat-Bulk
Functional: PBE
Structure: relaxed

Results
The formation energy comes out at 0.026 eV per atom. The space-group type is Fd-3m, No. 227.

Cell lengths 6.4052, 6.4052, 6.4052 Å; angles 60.00, 60.00, 60.00 degrees
With the nearest neighbours (Å) after each atom.
Fractional coordinates of all 6 atoms:
Tm (0.1250, 0.1250, 0.1250)  12 Pb 3.76, 4 Tm 3.92
Tm (0.8750, 0.8750, 0.8750)  12 Pb 3.76, 4 Tm 3.92
Pb (0.0000, 0.5000, 0.5000)  6 Pb 3.20
Pb (0.5000, 0.0000, 0.5000)  6 Pb 3.20
Pb (0.5000, 0.5000, 0.0000)  6 Pb 3.20
Pb (0.5000, 0.5000, 0.5000)  6 Pb 3.20

***

Compound: LuScTl2
Source: Alexandria via LeMat-Bulk
Functional: PBE
Structure: relaxed

Results
The formation energy comes out at -0.254 eV per atom. The space-group type is P4/mmm, No. 123.

Cell lengths 3.6651, 3.6651, 7.3517 Å; angles 90.00, 90.00, 90.00 degrees
With the nearest neighbours (Å) after each atom.
Fractional coordinates of all 4 atoms:
Lu (0.0000, 0.0000, 0.0000)  8 Tl 3.22
Sc (0.0000, 0.0000, 0.5000)  8 Tl 3.14
Tl (0.5000, 0.5000, 0.2590)  4 Sc 3.14, 4 Lu 3.22
Tl (0.5000, 0.5000, 0.7410)  4 Sc 3.14, 4 Lu 3.22

***

Compound: NaSbCO2F3
Source: Alexandria via LeMat-Bulk
Functional: PBE
Structure: relaxed

Results
The space-group type is C2/c, No. 15. The value obtained for the electronic total energy is -5.7617 eV per atom.

Cell lengths 9.3696, 9.3696, 8.4881 Å; angles 95.84, 95.84, 40.12 degrees
With the nearest neighbours (Å) after each atom.
Fractional coordinates of all 32 atoms:
Na (0.0914, 0.3287, 0.3254)  5 F 2.25-2.37, 1 O 2.51
Na (0.3287, 0.0914, 0.8254)  5 F 2.25-2.37, 1 O 2.51
Na (0.6713, 0.9086, 0.1746)  5 F 2.25-2.37, 1 O 2.51
Na (0.9086, 0.6713, 0.6746)  5 F 2.25-2.37, 1 O 2.51
Sb (0.2665, 0.5194, 0.0986)  3 F 1.98-2.06
Sb (0.4806, 0.7335, 0.4014)  3 F 1.98-2.06
Sb (0.5194, 0.2665, 0.5986)  3 F 1.98-2.06
Sb (0.7335, 0.4806, 0.9014)  3 F 1.98-2.06
C (0.0416, 0.8946, 0.5259)  2 O 1.26-1.28
C (0.1054, 0.9584, 0.9741)  2 O 1.26-1.28
C (0.8946, 0.0416, 0.0259)  2 O 1.26-1.28
C (0.9584, 0.1054, 0.4741)  2 O 1.26-1.28
O (0.0744, 0.0963, 0.9062)  1 C 1.28
O (0.0963, 0.0744, 0.4062)  1 C 1.28
O (0.2387, 0.7089, 0.4974)  1 C 1.26
O (0.2911, 0.7613, 0.0026)  1 C 1.26
O (0.7089, 0.2387, 0.9974)  1 C 1.26
O (0.7613, 0.2911, 0.5026)  1 C 1.26
O (0.9037, 0.9256, 0.5938)  1 C 1.28
O (0.9256, 0.9037, 0.0938)  1 C 1.28
F (0.0355, 0.5711, 0.1851)  1 Sb 2.03, 1 Na 2.27
F (0.1726, 0.5618, 0.8719)  1 Sb 1.98
F (0.2200, 0.3960, 0.5385)  1 Sb 2.06, 1 Na 2.25
F (0.3960, 0.2200, 0.0385)  1 Sb 2.06, 1 Na 2.25
F (0.4289, 0.9645, 0.3149)  1 Sb 2.03, 1 Na 2.27
F (0.4382, 0.8274, 0.6281)  1 Sb 1.98
F (0.5618, 0.1726, 0.3719)  1 Sb 1.98
F (0.5711, 0.0355, 0.6851)  1 Sb 2.03, 1 Na 2.27
F (0.6040, 0.7800, 0.9615)  1 Sb 2.06, 1 Na 2.25
F (0.7800, 0.6040, 0.4615)  1 Sb 2.06, 1 Na 2.25
F (0.8274, 0.4382, 0.1281)  1 Sb 1.98
F (0.9645, 0.4289, 0.8149)  1 Sb 2.03, 1 Na 2.27

***

Compound: TlCoBr2
Source: Alexandria via LeMat-Bulk
Functional: PBE
Structure: relaxed

Results
Its energy relative to the lowest polymorph listed for this composition is 478 meV/atom. The space-group type is Fm-3m, No. 225.

Cell lengths 7.4455, 7.4455, 7.4455 Å; angles 90.00, 90.00, 90.00 degrees
With the nearest neighbours (Å) after each atom.
Fractional coordinates of all 16 atoms:
Tl (0.0000, 0.0000, 0.0000)  8 Br 3.22
Tl (0.0000, 0.5000, 0.5000)  8 Br 3.22
Tl (0.5000, 0.0000, 0.5000)  8 Br 3.22
Tl (0.5000, 0.5000, 0.0000)  8 Br 3.22
Co (0.0000, 0.0000, 0.5000)  8 Br 3.22
Co (0.0000, 0.5000, 0.0000)  8 Br 3.22
Co (0.5000, 0.0000, 0.0000)  8 Br 3.22
Co (0.5000, 0.5000, 0.5000)  8 Br 3.22
Br (0.2500, 0.2500, 0.2500)  4 Tl 3.22, 4 Co 3.22
Br (0.2500, 0.2500, 0.7500)  4 Tl 3.22, 4 Co 3.22
Br (0.2500, 0.7500, 0.2500)  4 Tl 3.22, 4 Co 3.22
Br (0.2500, 0.7500, 0.7500)  4 Tl 3.22, 4 Co 3.22
Br (0.7500, 0.2500, 0.2500)  4 Tl 3.22, 4 Co 3.22
Br (0.7500, 0.2500, 0.7500)  4 Tl 3.22, 4 Co 3.22
Br (0.7500, 0.7500, 0.2500)  4 Tl 3.22, 4 Co 3.22
Br (0.7500, 0.7500, 0.7500)  4 Tl 3.22, 4 Co 3.22